! Y4Ge8Rh GGA-PBE relaxed; values from VASP
! DFT total energy   -6.0615 eV/atom
! Energy of formation   -0.6656 eV per atom
! Crystal system   orthorhombic
&SYSTEM
  ibrav = 0, nat = 13, ntyp = 3
/
ATOMIC_SPECIES
Y 88.91 Y.upf
Ge 72.64 Ge.upf
Rh 102.91 Rh.upf
ATOMIC_POSITIONS crystal
Y 0.000 0.000 0.000
Y 0.000 0.500 0.489
Y 0.500 0.000 0.790
Y 0.500 0.500 0.285
Ge 0.000 0.000 0.333
Ge 0.000 0.000 0.623
Ge 0.000 0.500 0.140
Ge 0.000 0.500 0.855
Ge 0.500 0.000 0.145
Ge 0.500 0.000 0.437
Ge 0.500 0.500 0.622
Ge 0.500 0.500 0.955
Rh 0.000 0.500 0.706
CELL_PARAMETERS angstrom
4.031 0.000 0.000
0.000 4.143 0.000
0.000 0.000 16.278

---

! Y2GeRh3 GGA-PBE relaxed; values from VASP
! DFT total energy   -7.1002 eV/atom
! Energy of formation   -0.5002 eV per atom
! Crystal system   orthorhombic
&SYSTEM
  ibrav = 0, nat = 12, ntyp = 3
/
ATOMIC_SPECIES
Y 88.91 Y.upf
Ge 72.64 Ge.upf
Rh 102.91 Rh.upf
ATOMIC_POSITIONS crystal
Y 0.000 0.000 0.188
Y 0.000 0.000 0.812
Y 0.500 0.500 0.312
Y 0.500 0.500 0.688
Ge 0.000 0.000 0.500
Ge 0.500 0.500 0.000
Rh 0.000 0.500 0.134
Rh 0.000 0.500 0.500
Rh 0.000 0.500 0.866
Rh 0.500 0.000 0.000
Rh 0.500 0.000 0.366
Rh 0.500 0.000 0.634
CELL_PARAMETERS angstrom
4.518 0.000 0.000
0.000 5.353 0.000
0.000 0.000 9.754

---

! YGeRh3 GGA-PBE relaxed; values from VASP
! DFT total energy   -6.9909 eV/atom
! Energy of formation   -0.3638 eV per atom
! Polymorph energy (0 for the lowest one)   1.19 eV/f.u.
! Crystal system   cubic
&SYSTEM
  ibrav = 0, nat = 5, ntyp = 3
/
ATOMIC_SPECIES
Y 88.91 Y.upf
Ge 72.64 Ge.upf
Rh 102.91 Rh.upf
ATOMIC_POSITIONS crystal
Y 0.000 0.000 0.000
Ge 0.500 0.500 0.500
Rh 0.000 0.500 0.500
Rh 0.500 0.000 0.500
Rh 0.500 0.500 0.000
CELL_PARAMETERS angstrom
4.569 0.000 0.000
0.000 4.569 0.000
0.000 0.000 4.569

---

! YGeRh GGA-PBE relaxed; values from VASP
! DFT total energy   -7.0606 eV/atom
! Energy of formation   -0.9163 eV per atom
! Crystal system   orthorhombic
&SYSTEM
  ibrav = 0, nat = 12, ntyp = 3
/
ATOMIC_SPECIES
Y 88.91 Y.upf
Ge 72.64 Ge.upf
Rh 102.91 Rh.upf
ATOMIC_POSITIONS crystal
Y 0.099 0.901 0.500
Y 0.344 0.656 0.015
Y 0.656 0.344 0.515
Y 0.901 0.099 0.000
Ge 0.161 0.413 0.677
Ge 0.413 0.161 0.177
Ge 0.587 0.839 0.677
Ge 0.839 0.587 0.177
Rh 0.165 0.417 0.345
Rh 0.417 0.165 0.845
Rh 0.583 0.835 0.345
Rh 0.835 0.583 0.845
CELL_PARAMETERS angstrom
3.657 -4.270 0.000
3.657 4.270 0.000
0.000 0.000 7.536